[1]
A plane-wave DFT calculation with PBE was carried out for a relaxed structure of GaCu5Si.

a b c (Å): 8.061 4.683 9.753
angles (deg): 90.00 93.99 90.00
Space group C2/c (No. 15)
Unique sites:
Ga: 0.000 0.000 0.000 (multiplicity 4)
Cu: 0.000 0.204 0.250 (multiplicity 4)
Cu: 0.167 0.467 0.065 (multiplicity 8)
Cu: 0.244 0.041 0.673 (multiplicity 8)
Si: 0.000 0.302 0.750 (multiplicity 4)

Computed properties:
* total moment: 0.0 μB per cell
* relative energy among the computed polymorphs: 0.0313 eV per atom



[2]
A plane-wave DFT calculation with PBE was carried out for a relaxed structure of AgHgPtCl6.

a b c (Å): 6.498 6.498 11.270
angles (deg): 90.00 90.00 90.00
Space group P4_2nm (No. 102)
Unique sites:
Ag: 0.000 0.000 0.000 (multiplicity 2)
Hg: 0.000 0.000 0.688 (multiplicity 2)
Pt: 0.000 0.000 0.345 (multiplicity 2)
Cl: 0.173 0.173 0.191 (multiplicity 4)
Cl: 0.175 0.175 0.495 (multiplicity 4)
Cl: 0.208 0.208 0.846 (multiplicity 4)

Computed properties:
* total moment: 0.0 μB per cell
* total energy: -0.099 hartree per atom



Question: Which value of total moment does entry 2 give?
Answer: 0.0 μB per cell